# 1
VASP calculation (PBE-GGA) on a relaxed Ca3Sc crystal.

Lattice parameters (Å, degrees): 12.466 12.466 12.466 17.06 17.06 17.06
Site moments in Bohr magnetons follow the coordinates.
Atoms (fractional coordinates):
Sc1 0.000 0.000 0.000  0.47
Ca1 0.256 0.256 0.256  0.04
Ca2 0.744 0.744 0.744  0.04
Ca3 0.500 0.500 0.500  0.02

Computed properties:
Offset from the most stable computed form = 0.048 eV/f.u.
Spin magnetization = 1.27 μB per cell
Volume = 36.38 Å³/atom

---

# 2
VASP calculation (PBE-GGA) on a relaxed CaSc2 crystal.

Lattice parameters (Å, degrees): 7.593 7.593 7.593 153.41 153.41 37.95
Site moments in Bohr magnetons follow the coordinates.
Atoms (fractional coordinates):
Sc1 0.183 0.183 0.000  0.19
Sc2 0.817 0.817 0.000  0.19
Ca1 0.500 0.500 0.000  0.00

Computed properties:
Offset from the most stable computed form = 0.151 eV/f.u.
Spin magnetization = 0.65 μB per cell
Volume = 29.18 Å³/atom

---

# 3
VASP calculation (PBE-GGA) on a relaxed CaSc3 crystal.

Lattice parameters (Å, degrees): 5.839 5.839 5.990 79.78 79.78 33.52
Atoms (fractional coordinates):
Sc1 0.240 0.240 0.275
Sc2 0.500 0.500 0.500
Sc3 0.760 0.760 0.725
Ca1 0.000 0.000 0.000

Computed properties:
Spin magnetization = 0.00 μB per cell
Calculated total energy = -5.06 eV per atom
Volume = 27.70 Å³/atom

---

# 4
VASP calculation (PBE-GGA) on a relaxed Ca3Sc crystal.

Lattice parameters (Å, degrees): 6.054 6.469 7.472 90.00 90.00 90.00
Site moments in Bohr magnetons follow the coordinates.
Atoms (fractional coordinates):
Sc1 0.000 0.667 0.000  0.42
Ca1 0.500 0.828 0.749  0.05
Ca2 0.000 0.172 0.249  0.05
Ca3 0.000 0.172 0.751  0.05
Ca4 0.500 0.828 0.251  0.05
Ca5 0.000 0.654 0.500  0.05
Sc2 0.500 0.333 0.500  0.42
Ca6 0.500 0.346 0.000  0.05

Computed properties:
Offset from the most stable computed form = 0.209 eV/f.u.
Spin magnetization = 2.66 μB per cell
Volume = 36.58 Å³/atom

---

# 5
VASP calculation (PBE-GGA) on a relaxed CaSc crystal.

Lattice parameters (Å, degrees): 6.236 6.236 6.236 32.74 32.74 32.74
Site moments in Bohr magnetons follow the coordinates.
Atoms (fractional coordinates):
Ca1 0.000 0.000 0.000  0.04
Sc1 0.500 0.500 0.500  0.39

Computed properties:
Offset from the most stable computed form = 0.279 eV/f.u.
Spin magnetization = 0.85 μB per cell
Volume = 31.54 Å³/atom

---

# 6
VASP calculation (PBE-GGA) on a relaxed CaSc crystal.

Lattice parameters (Å, degrees): 10.211 10.211 10.211 90.00 90.00 90.00
Atoms (fractional coordinates):
Sc1 0.100 0.900 0.100
Ca1 0.795 0.795 0.205
Ca2 0.205 0.205 0.205
Sc2 0.100 0.100 0.900
Sc3 0.600 0.400 0.600
Sc4 0.900 0.100 0.100
Sc5 0.900 0.900 0.900
Ca3 0.295 0.705 0.295
Sc6 0.400 0.400 0.400
Ca4 0.705 0.295 0.295
Sc7 0.400 0.600 0.600
Ca5 0.295 0.295 0.705
Ca6 0.205 0.795 0.795
Ca7 0.795 0.205 0.795
Sc8 0.600 0.600 0.400
Ca8 0.705 0.705 0.705

Computed properties:
Offset from the most stable computed form = 1.958 eV/f.u.
Spin magnetization = 0.30 μB per cell
Volume = 66.54 Å³/atom

---

# 7
VASP calculation (PBE-GGA) on a relaxed CaSc3 crystal.

Lattice parameters (Å, degrees): 6.436 6.436 6.436 149.34 125.50 63.84
Atoms (fractional coordinates):
Sc1 0.423 0.765 0.659
Ca1 0.010 0.000 0.010
Sc2 0.894 0.235 0.659
Sc3 0.507 0.500 0.007

Computed properties:
Spin magnetization = 0.00 μB per cell
Calculated total energy = -5.08 eV per atom
Volume = 27.39 Å³/atom

---

# 8
VASP calculation (PBE-GGA) on a relaxed Ca3Sc crystal.

Lattice parameters (Å, degrees): 3.589 3.589 11.864 90.00 90.00 109.89
Atoms (fractional coordinates):
Ca1 0.000 0.000 0.020
Sc1 0.500 0.500 0.250
Ca2 0.500 0.500 0.750
Ca3 0.000 0.000 0.480

Computed properties:
Offset from the most stable computed form = 0.085 eV/f.u.
Spin magnetization = 0.03 μB per cell
Volume = 35.92 Å³/atom

---

# 9
VASP calculation (PBE-GGA) on a relaxed CaSc crystal.

Lattice parameters (Å, degrees): 10.345 10.345 3.616 90.00 90.00 160.39
Site moments in Bohr magnetons follow the coordinates.
Atoms (fractional coordinates):
Ca1 0.419 0.581 0.250  0.00
Sc1 0.796 0.204 0.750  0.13
Sc2 0.204 0.796 0.250  0.13
Ca2 0.581 0.419 0.750  0.00

Computed properties:
Offset from the most stable computed form = 0.078 eV/f.u.
Spin magnetization = 0.39 μB per cell
Volume = 32.47 Å³/atom

---

# 10
VASP calculation (PBE-GGA) on a relaxed Ca3Sc crystal.

Lattice parameters (Å, degrees): 6.916 6.916 6.916 117.12 117.12 117.12
Site moments in Bohr magnetons follow the coordinates.
Atoms (fractional coordinates):
Ca1 0.500 0.000 0.500  0.03
Ca2 0.000 0.000 0.000  0.03
Sc1 0.500 0.500 0.000  0.28
Ca3 0.000 0.500 0.500  0.03

Computed properties:
Offset from the most stable computed form = 0.219 eV/f.u.
Spin magnetization = 0.95 μB per cell
Volume = 35.77 Å³/atom

---

# 11
VASP calculation (PBE-GGA) on a relaxed CaSc2 crystal.

Lattice parameters (Å, degrees): 3.724 3.724 12.930 90.00 90.00 90.00
Atoms (fractional coordinates):
Sc1 0.500 0.000 0.436
Sc2 0.500 0.000 0.698
Ca1 0.500 0.000 0.113
Sc3 0.000 0.500 0.302
Sc4 0.000 0.500 0.564
Ca2 0.000 0.500 0.887

Computed properties:
Offset from the most stable computed form = 0.000 eV/f.u.
Spin magnetization = 0.05 μB per cell
Volume = 29.89 Å³/atom

---

# 12
VASP calculation (PBE-GGA) on a relaxed Ca7Sc6 crystal.

Lattice parameters (Å, degrees): 12.058 12.058 12.058 31.78 31.78 31.78
Site moments in Bohr magnetons follow the coordinates.
Atoms (fractional coordinates):
Ca1 0.589 0.078 0.589  0.06
Sc1 0.855 0.855 0.855  0.54
Sc2 0.333 0.333 0.333  0.36
Sc3 0.667 0.667 0.667  0.36
Ca2 0.078 0.589 0.589  0.06
Ca3 0.589 0.589 0.078  0.06
Sc4 0.957 0.957 0.957  0.25
Ca4 0.411 0.922 0.411  0.06
Sc5 0.145 0.145 0.145  0.54
Sc6 0.043 0.043 0.043  0.25
Ca5 0.411 0.411 0.922  0.06
Ca6 0.922 0.411 0.411  0.06
Ca7 0.500 0.500 0.500  0.03

Computed properties:
Spin magnetization = 5.78 μB per cell
Calculated total energy = -3.52 eV per atom
Volume = 33.22 Å³/atom

---

- Which of these has the highest volume?
  number 6

---

- spin magnetization of number 4 (Ca3Sc)?
  2.66 μB per cell

---

What did the seventh record say?
VASP calculation (PBE-GGA) on a relaxed CaSc3 crystal.

Lattice parameters (Å, degrees): 6.436 6.436 6.436 149.34 125.50 63.84
Atoms (fractional coordinates):
Sc1 0.423 0.765 0.659
Ca1 0.010 0.000 0.010
Sc2 0.894 0.235 0.659
Sc3 0.507 0.500 0.007

Computed properties:
Spin magnetization = 0.00 μB per cell
Calculated total energy = -5.08 eV per atom
Volume = 27.39 Å³/atom

---

- Number 2 is which compound?
  CaSc2